[1]
Pm5Sn3F | GGA-PBE | optimized geometry

It has space group P6_3/mcm (No. 193), with a = 9.2563 Å, b = 9.2563 Å, c = 6.6039 Å, α = 90.00°, β = 90.00° and γ = 120.00°. The distinct sites, in fractional coordinates, are Pm at (0.0000, 0.2463, 0.2500), Pm at (0.3333, 0.6667, 0.0000), Sn at (0.0000, 0.3918, 0.7500) and F at (0.0000, 0.0000, 0.0000).

Its crystal system is hexagonal. The uncorrected formation energy comes out at -10.82 eV per formula unit.



[2]
HfInSnPb2 | GGA-PBE | optimized geometry

It has space group P4/mmm (No. 123), with a = 6.9709 Å, b = 6.9709 Å, c = 6.9441 Å, α = 90.00°, β = 90.00° and γ = 90.00°. The distinct sites, in fractional coordinates, are Hf at (0.0000, 0.0000, 0.0000), In at (0.5000, 0.5000, 0.5000), Sn at (0.0000, 0.0000, 0.5000) and Pb at (0.0000, 0.5000, 0.0000).

Its crystal system is tetragonal. Its energy of formation from the pure elements is 1.333 eV/atom.



[3]
Pr2ThCl | GGA-PBE | optimized geometry

It has space group R-3m (No. 166, hexagonal axes), with a = 3.7440 Å, b = 3.7440 Å, c = 30.3237 Å, α = 90.00°, β = 90.00° and γ = 120.00°. The distinct sites, in fractional coordinates, are Pr at (0.0000, 0.0000, 0.2408), Th at (0.0000, 0.0000, 0.0000) and Cl at (0.0000, 0.0000, 0.5000).

Its crystal system is trigonal. The uncorrected formation energy comes out at -2.78 eV per formula unit.